#a
Computed, not measured: crystalline CsGa2W at its relaxed geometry at the PBE level of DFT.

Cell: 6.946 6.946 8.514 Å, 65.93 65.93 90.00°
Positions (direct):
Cs (0.500, 0.500, 0.000)
Cs (0.250, 0.750, 0.500)
Ga (0.877, 0.125, 0.250)
Ga (0.873, 0.625, 0.250)
Ga (0.375, 0.123, 0.750)
Ga (0.875, 0.127, 0.750)
W (0.000, 0.000, 0.000)
W (0.750, 0.250, 0.500)

DOS at the Fermi energy = 0.8526 states/eV per atom
Volume = 41.943 Å³ per atom

#b
Computed, not measured: crystalline CsGa2W at its relaxed geometry at the PBE level of DFT.

Cell: 5.055 5.055 5.055 Å, 60.00 60.00 60.00°
Site moments in Bohr magnetons follow the coordinates.
Positions (direct):
Cs (0.000, 0.000, 0.000)  0.08
Ga (0.250, 0.250, 0.250)  0.01
Ga (0.750, 0.750, 0.750)  0.01
W (0.500, 0.500, 0.500)  2.04

DOS at the Fermi energy = 1.2096 states/eV per atom
Volume = 22.835 Å³ per atom

Computed energies relative to the best structure, in eV/atom: #a 0.000; #b 0.556